(1)
Computed, not measured: a relaxed structure of GaNiIr at the GGA-PBE level of DFT.

Computed properties:
For the magnetic moment, the calculation gives 0.00 μB per cell. The energy of formation from the pure elements comes out at -6.5 kcal/mol of atoms. The value obtained for the raw total energy is -6.17 eV per atom.

Unit cell a=4.398 b=4.398 c=5.253 alpha=99.71 beta=99.71 gamma=52.89
Fractional coordinates of all 6 atoms:
Ga: 0.000 0.000 0.000
Ga: 0.689 0.689 0.386
Ni: 0.351 0.351 0.704
Ni: 0.677 0.677 0.863
Ir: 0.023 0.023 0.523
Ir: 0.332 0.332 0.188

(2)
Computed, not measured: a relaxed structure of Ga3Ni12Ir at the GGA-PBE level of DFT.

Computed properties:
For the magnetic moment, the calculation gives 3.17 μB per cell. The energy of formation from the pure elements comes out at -4.9 kcal/mol of atoms. The value obtained for the raw total energy is -5.67 eV per atom.

Unit cell a=3.599 b=3.599 c=14.234 alpha=90.00 beta=90.00 gamma=90.00
Fractional coordinates of all 16 atoms:
Ga: 0.000 0.000 0.000
Ga: 0.000 0.000 0.246
Ga: 0.000 0.000 0.754
Ni: 0.000 0.500 0.124
Ni: 0.000 0.500 0.373
Ni: 0.000 0.500 0.627
Ni: 0.000 0.500 0.876
Ni: 0.500 0.000 0.124
Ni: 0.500 0.000 0.373
Ni: 0.500 0.000 0.627
Ni: 0.500 0.000 0.876
Ni: 0.500 0.500 0.000
Ni: 0.500 0.500 0.249
Ni: 0.500 0.500 0.500
Ni: 0.500 0.500 0.751
Ir: 0.000 0.000 0.500

(3)
Computed, not measured: a relaxed structure of GaNiIr at the GGA-PBE level of DFT.

Computed properties:
For the magnetic moment, the calculation gives 0.00 μB per cell. The energy of formation from the pure elements comes out at -5.6 kcal/mol of atoms. The value obtained for the raw total energy is -6.13 eV per atom.

Unit cell a=4.183 b=4.695 c=4.695 alpha=120.03 beta=90.00 gamma=90.00
Fractional coordinates of all 6 atoms:
Ga: 0.000 0.165 0.835
Ga: 0.000 0.835 0.165
Ni: 0.000 0.470 0.470
Ni: 0.500 0.167 0.167
Ir: 0.500 0.494 0.820
Ir: 0.500 0.820 0.494